1.
Computed, not measured: an optimized crystal structure of TmHf2Sn at the PBE level of DFT.

Cell and atoms, written as POSCAR:
```
TmHf2Sn
1.0
4.359 0.000 0.000
0.000 4.363 0.000
-2.181 0.000 10.433
Tm Hf Sn
2 4 2
direct
0.190 0.250 0.378
0.810 0.750 0.622
0.053 0.750 0.106
0.449 0.750 0.898
0.551 0.250 0.102
0.947 0.250 0.894
0.339 0.250 0.678
0.661 0.750 0.322
```

Calculated formation energy: -430 meV per atom
DFT total energy: -60.2 eV/cell
Distance to the lowest polymorph of the same formula: 0.000 eV/atom

2.
Computed, not measured: an optimized crystal structure of Ce2NdTh at the PBE level of DFT.

Cell and atoms, written as POSCAR:
```
Ce2NdTh
1.0
3.493 0.000 0.000
0.000 3.493 0.000
0.000 0.000 10.031
Ce Nd Th
2 1 1
direct
0.000 0.000 0.238
0.000 0.000 0.762
0.500 0.500 0.500
0.500 0.500 0.000
```

Calculated formation energy: 56 meV per atom
DFT total energy: -23.8 eV/cell
Distance to the lowest polymorph of the same formula: 0.000 eV/atom

> Look up the distance to the lowest polymorph of the same formula of the first one.

0.000 eV/atom

> Among the records above, which one has the highest calculated formation energy?

Ce2NdTh

> What is the formula in the second record?

Ce2NdTh